# 1
Here is a relaxed KOs2W crystal from Alexandria via LeMat-Bulk. Energies are from GGA-PBE.

Unit cell a=2.9239 b=2.9239 c=8.9985 alpha=90.00 beta=90.00 gamma=90.00
Last column: nearest neighbours and their distance in Å.
Element x y z (fractional)
K (0.0000, 0.0000, 0.0000)  4 K 2.92
Os (0.5000, 0.5000, 0.3121)  4 W 2.67, 4 Os 2.92
Os (0.5000, 0.5000, 0.6879)  4 W 2.67, 4 Os 2.92
W (0.0000, 0.0000, 0.5000)  8 Os 2.67, 4 W 2.92

Results
polymorph energy (0 for the lowest one): 124 meV per atom
calculated volume: 19.2 Å³ per atom
ΔH_f (0 K): 0.8119 eV/atom
magnetic moment: 0.000 μB/cell

---

# 2
Here is a relaxed Ba2GaPt2 crystal from Alexandria via LeMat-Bulk. Energies are from GGA-PBE.

Unit cell a=8.5439 b=8.5439 c=8.1424 alpha=90.00 beta=90.00 gamma=149.24
Last column: nearest neighbours and their distance in Å.
Element x y z (fractional)
Ba (0.0435, 0.9565, 0.5000)  5 Pt 3.09-3.39, 2 Ga 3.36
Ba (0.2115, 0.7885, 0.8391)  3 Pt 3.03-3.40
Ba (0.7885, 0.2115, 0.3391)  3 Pt 3.03-3.40
Ba (0.9565, 0.0435, 0.0000)  5 Pt 3.09-3.39, 2 Ga 3.36
Ga (0.4089, 0.5911, 0.6354)  4 Pt 2.53-2.75
Ga (0.5911, 0.4089, 0.1354)  4 Pt 2.53-2.75
Pt (0.1531, 0.8469, 0.1924)  2 Ga 2.53
Pt (0.4480, 0.5520, 0.3093)  2 Ga 2.73-2.75
Pt (0.5520, 0.4480, 0.8093)  2 Ga 2.73-2.75
Pt (0.8469, 0.1531, 0.6924)  2 Ga 2.53

Results
calculated volume: 30.4 Å³ per atom
ΔH_f (0 K): -0.7108 eV/atom
magnetic moment: 0.000 μB/cell

---

# 3
Here is a relaxed Pr4Tm5Cd crystal from Alexandria via LeMat-Bulk. Energies are from GGA-PBE.

Unit cell a=8.1338 b=8.1338 c=8.1338 alpha=97.08 beta=97.08 gamma=138.90
Last column: nearest neighbours and their distance in Å.
Element x y z (fractional)
Pr (0.0000, 0.3164, 0.3164)  7 Tm 3.42-3.79, 1 Cd 3.80
Pr (0.0000, 0.6836, 0.6836)  7 Tm 3.42-3.79, 1 Cd 3.80
Pr (0.3164, 0.0000, 0.3164)  7 Tm 3.42-3.79, 1 Cd 3.80
Pr (0.6836, 0.0000, 0.6836)  7 Tm 3.42-3.79, 1 Cd 3.80
Tm (0.1904, 0.1904, 0.0000)  2 Cd 2.76-2.95
Tm (0.3093, 0.3093, 0.6342)  1 Cd 3.04, 1 Tm 3.28
Tm (0.3093, 0.6751, 0.0000)  1 Cd 3.04, 1 Tm 3.28
Tm (0.6751, 0.3093, 0.0000)  1 Cd 3.04, 1 Tm 3.28
Tm (0.6751, 0.6751, 0.3658)  1 Cd 3.04, 1 Tm 3.28
Cd (0.7067, 0.7067, 0.0000)  6 Tm 2.76-3.04

Results
polymorph energy (0 for the lowest one): 138 meV per atom
calculated volume: 33.1 Å³ per atom
ΔH_f (0 K): 0.0944 eV/atom
magnetic moment: 0.000 μB/cell

---

# 4
Here is a relaxed Y8P3Se4N crystal from Alexandria via LeMat-Bulk. Energies are from GGA-PBE.

Unit cell a=8.0771 b=8.0771 c=8.0771 alpha=58.61 beta=58.61 gamma=58.61
Last column: nearest neighbours and their distance in Å.
Element x y z (fractional)
Y (0.2427, 0.2427, 0.2427)  3 P 2.74, 3 Se 2.91
Y (0.2580, 0.7289, 0.7289)  1 N 2.59, 2 P 2.76
Y (0.2711, 0.2711, 0.7420)  1 N 2.59, 2 P 2.76
Y (0.2711, 0.7420, 0.2711)  1 N 2.59, 2 P 2.76
Y (0.7289, 0.2580, 0.7289)  1 N 2.59, 2 P 2.76
Y (0.7289, 0.7289, 0.2580)  1 N 2.59, 2 P 2.76
Y (0.7420, 0.2711, 0.2711)  1 N 2.59, 2 P 2.76
Y (0.7573, 0.7573, 0.7573)  3 P 2.74, 3 Se 2.91
P (0.0000, 0.0000, 0.5000)  6 Y 2.74-2.76
P (0.0000, 0.5000, 0.0000)  6 Y 2.74-2.76
P (0.5000, 0.0000, 0.0000)  6 Y 2.74-2.76
Se (0.0000, 0.0000, 0.0000)  6 Y 3.07
Se (0.0000, 0.5000, 0.5000)  6 Y 2.91-2.92
Se (0.5000, 0.0000, 0.5000)  6 Y 2.91-2.92
Se (0.5000, 0.5000, 0.0000)  6 Y 2.91-2.92
N (0.5000, 0.5000, 0.5000)  6 Y 2.59

Results
uncorrected formation energy: -27.8 eV/f.u.
calculated volume: 22.6 Å³ per atom
magnetic moment: 0.000 μB/cell

---

# 5
Here is a relaxed CdAg3Pt crystal from Alexandria via LeMat-Bulk. Energies are from GGA-PBE.

Unit cell a=9.5548 b=9.5548 c=7.8834 alpha=90.00 beta=90.00 gamma=163.29
Last column: nearest neighbours and their distance in Å.
Element x y z (fractional)
Cd (0.2433, 0.7567, 0.7500)  3 Ag 2.75-2.85, 2 Cd 2.78
Cd (0.7567, 0.2433, 0.2500)  3 Ag 2.75-2.85, 2 Cd 2.78
Ag (0.0980, 0.9020, 0.7500)  2 Pt 2.70, 1 Cd 2.75, 6 Ag 2.78-2.93
Ag (0.3737, 0.6263, 0.5699)  5 Ag 2.78-2.93, 2 Pt 2.82, 1 Cd 2.85
Ag (0.3737, 0.6263, 0.9301)  5 Ag 2.78-2.93, 2 Pt 2.82, 1 Cd 2.85
Ag (0.6263, 0.3737, 0.0699)  5 Ag 2.78-2.93, 2 Pt 2.82, 1 Cd 2.85
Ag (0.6263, 0.3737, 0.4301)  5 Ag 2.78-2.93, 2 Pt 2.82, 1 Cd 2.85
Ag (0.9020, 0.0980, 0.2500)  2 Pt 2.70, 1 Cd 2.75, 6 Ag 2.78-2.93
Pt (0.0000, 0.0000, 0.0000)  6 Ag 2.70-2.82, 2 Pt 2.78
Pt (0.0000, 0.0000, 0.5000)  6 Ag 2.70-2.82, 2 Pt 2.78

Results
polymorph energy (0 for the lowest one): 255 meV per atom
calculated volume: 20.7 Å³ per atom
ΔH_f (0 K): 0.2611 eV/atom
magnetic moment: 0.000 μB/cell

---

# 6
Here is a relaxed UCuP crystal from Alexandria via LeMat-Bulk. Energies are from GGA-PBE.

Unit cell a=6.8806 b=6.8806 c=6.8806 alpha=38.04 beta=38.04 gamma=38.04
Last column: nearest neighbours and their distance in Å.
Element x y z (fractional)
U (0.1602, 0.1602, 0.1602)  3 U 2.60, 3 P 2.86, 1 Cu 2.91
U (0.8398, 0.8398, 0.8398)  3 U 2.60, 3 P 2.86, 1 Cu 2.91
Cu (0.3121, 0.3121, 0.3121)  1 P 2.25
Cu (0.6879, 0.6879, 0.6879)  1 P 2.25
P (0.4295, 0.4295, 0.4295)  1 Cu 2.25
P (0.5705, 0.5705, 0.5705)  1 Cu 2.25

Results
calculated volume: 18.5 Å³ per atom
ΔH_f (0 K): 0.0726 eV/atom
magnetic moment: 0.000 μB/cell

---

# 7
Here is a relaxed Ti3ZnPd5 crystal from Alexandria via LeMat-Bulk. Energies are from GGA-PBE.

Unit cell a=7.5225 b=7.5225 c=7.5225 alpha=121.59 beta=121.59 gamma=87.27
Last column: nearest neighbours and their distance in Å.
Element x y z (fractional)
Ti (0.1124, 0.6124, 0.7248)  1 Ti 2.33, 2 Pd 2.39
Ti (0.2500, 0.2500, 0.0000)  10 Pd 2.72-2.93
Ti (0.3876, 0.1124, 0.5000)  1 Ti 2.33, 2 Pd 2.39
Ti (0.6124, 0.8876, 0.5000)  1 Ti 2.33, 2 Pd 2.39
Ti (0.7500, 0.7500, 0.0000)  10 Pd 2.72-2.93
Ti (0.8876, 0.3876, 0.2752)  1 Ti 2.33, 2 Pd 2.39
Zn (0.2500, 0.7500, 0.5000)  4 Pd 2.48
Zn (0.7500, 0.2500, 0.5000)  4 Pd 2.48
Pd (0.0000, 0.0000, 0.0000)  6 Ti 2.72-2.96, 8 Pd 3.01
Pd (0.0719, 0.1621, 0.5000)  1 Ti 2.39, 1 Zn 2.48
Pd (0.1621, 0.6621, 0.0902)  1 Ti 2.39, 1 Zn 2.48
Pd (0.3379, 0.4281, 0.5000)  1 Ti 2.39, 1 Zn 2.48
Pd (0.4281, 0.9281, 0.0902)  1 Ti 2.39, 1 Zn 2.48
Pd (0.5000, 0.5000, 0.0000)  6 Ti 2.72-2.96, 8 Pd 3.01
Pd (0.5719, 0.0719, 0.9098)  1 Ti 2.39, 1 Zn 2.48
Pd (0.6621, 0.5719, 0.5000)  1 Ti 2.39, 1 Zn 2.48
Pd (0.8379, 0.3379, 0.9098)  1 Ti 2.39, 1 Zn 2.48
Pd (0.9281, 0.8379, 0.5000)  1 Ti 2.39, 1 Zn 2.48

Results
calculated volume: 16.3 Å³ per atom
ΔH_f (0 K): -0.2771 eV/atom
magnetic moment: 1.556 μB/cell

---

# 8
Here is a relaxed NdY10Ho4 crystal from Alexandria via LeMat-Bulk. Energies are from GGA-PBE.

Unit cell a=9.4386 b=9.4386 c=9.4386 alpha=99.57 beta=99.57 gamma=131.88
Last column: nearest neighbours and their distance in Å.
Element x y z (fractional)
Nd (0.0000, 0.0000, 0.0000)  8 Y 3.36
Y (0.0500, 0.3527, 0.9000)  3 Ho 3.33, 1 Nd 3.36
Y (0.1501, 0.0500, 0.6973)  3 Ho 3.33, 1 Nd 3.36
Y (0.2500, 0.7500, 0.5000)  4 Ho 3.33
Y (0.3527, 0.4527, 0.3027)  3 Ho 3.33, 1 Nd 3.36
Y (0.4527, 0.1501, 0.1000)  3 Ho 3.33, 1 Nd 3.36
Y (0.5473, 0.8499, 0.9000)  3 Ho 3.33, 1 Nd 3.36
Y (0.6473, 0.5473, 0.6973)  3 Ho 3.33, 1 Nd 3.36
Y (0.7500, 0.2500, 0.5000)  4 Ho 3.33
Y (0.8499, 0.9500, 0.3027)  3 Ho 3.33, 1 Nd 3.36
Y (0.9500, 0.6473, 0.1000)  3 Ho 3.33, 1 Nd 3.36
Ho (0.1994, 0.4010, 0.6004)  8 Y 3.33
Ho (0.4010, 0.8006, 0.2016)  8 Y 3.33
Ho (0.5990, 0.1994, 0.7984)  8 Y 3.33
Ho (0.8006, 0.5990, 0.3996)  8 Y 3.33

Results
calculated volume: 38.1 Å³ per atom
ΔH_f (0 K): 0.7387 eV/atom
magnetic moment: 0.000 μB/cell